Computed, not measured: a relaxed HoPaVN4 crystal at the PBE-GGA level of DFT.

Geometry as extended XYZ:
```
14
Lattice="-2.323 -2.424 4.484 -3.363 -2.983 -3.355 5.112 -3.599 -1.925" Properties=species:S:1:pos:R:3 pbc="T T T"
Ho -2.048 -5.907 0.272
Ho 1.475 -3.099 -1.067
Pa 0.554 -7.399 -1.010
Pa -1.127 -1.607 0.214
V -1.558 -4.033 -1.886
V 0.984 -4.972 1.090
N 0.002 -6.524 1.193
N -2.197 -3.920 -3.607
N -0.576 -2.482 -1.989
N 1.624 -5.085 2.811
N -2.908 -3.891 -0.658
N 2.335 -5.114 -0.138
N -0.546 -5.506 -1.591
N -0.028 -3.499 0.795
```

D(E_F)   0.565 states/eV/atom
Symmetry   P2_1/m (11)
Final energy   -9.340 eV/atom
Raw formation energy   -8.9 eV/f.u.
Theoretical density   8.58 g cm⁻³

Computed, not measured: a relaxed K2AsRh crystal at the PBE-GGA level of DFT.

Geometry as extended XYZ:
```
4
Lattice="-2.739 3.776 -2.140 -5.257 -1.689 3.749 -3.589 1.292 6.873" Properties=species:S:1:pos:R:3 pbc="T T T"
As -8.003 1.590 6.897
K -1.242 -0.320 1.026
K -3.181 0.121 4.285
Rh -3.581 1.789 1.586
```

D(E_F)   0.365 states/eV/atom
Symmetry   P2/m (10)
Final energy   -3.624 eV/atom
Energy of formation   -74.8 meV per atom
Theoretical density   2.69 g cm⁻³

Computed, not measured: a relaxed KCd2P crystal at the PBE-GGA level of DFT.

Geometry as extended XYZ:
```
4
Lattice="6.563 -0.077 0.000 -3.639 5.462 0.000 0.000 0.000 2.870" Properties=species:S:1:pos:R:3 pbc="T T T"
Cd 0.000 0.000 0.000
Cd 1.462 2.693 0.000
K 3.281 -0.038 1.435
P -1.820 2.731 1.435
```

D(E_F)   0.404 states/eV/atom
Symmetry   Cmmm (65)
Final energy   -1.784 eV/atom
Energy of formation   300.8 meV per atom
Theoretical density   4.80 g cm⁻³

Computed, not measured: a relaxed Ba2CaNi crystal at the PBE-GGA level of DFT.

Geometry as extended XYZ:
```
4
Lattice="-3.214 0.400 2.057 -0.914 -3.657 -0.717 5.173 -2.992 8.665" Properties=species:S:1:pos:R:3 pbc="T T T"
Ni 1.710 -3.811 6.991
Ca 3.032 -1.754 5.078
Ba 4.717 -2.728 7.900
Ba -0.654 -2.444 3.032
```

D(E_F)   1.100 states/eV/atom
Symmetry   P4mm (99)
Energy relative to the lowest polymorph listed for this composition   55 meV per atom
Final energy   -2.797 eV/atom
Energy of formation   110.2 meV per atom
Theoretical density   4.00 g cm⁻³

Computed, not measured: a relaxed TcPbClO4 crystal at the PBE-GGA level of DFT.

Geometry as extended XYZ:
```
14
Lattice="-1.639 5.724 3.330 1.615 -0.727 6.588 6.504 3.579 0.590" Properties=species:S:1:pos:R:3 pbc="T T T"
Tc 4.751 5.822 6.782
Tc 1.729 2.754 3.726
Pb 5.697 4.116 2.460
Pb 0.783 4.460 8.048
Cl 1.508 0.914 0.303
Cl 4.972 7.662 10.205
O 3.288 3.247 3.145
O 3.192 5.329 7.363
O 1.624 1.003 3.797
O 1.471 3.418 5.297
O 6.015 5.276 7.872
O 0.465 3.300 2.636
O 5.009 5.159 5.211
O 4.856 7.574 6.711
```

D(E_F)   0.000 states/eV/atom
Symmetry   C2/m (12)
Final energy   -6.453 eV/atom
Raw formation energy   -9.4 eV/f.u.
Theoretical density   4.28 g cm⁻³

Computed, not measured: a relaxed AlRu3F crystal at the PBE-GGA level of DFT.

Geometry as extended XYZ:
```
5
Lattice="-3.139 1.672 -2.827 -2.955 0.271 3.441 1.435 4.216 0.900" Properties=species:S:1:pos:R:3 pbc="T T T"
Ru -1.477 0.136 1.721
Ru 0.718 2.108 0.450
Ru -1.570 0.836 -1.414
Al 0.000 0.000 0.000
F -2.329 3.080 0.757
```

D(E_F)   1.401 states/eV/atom
Symmetry   Pm-3m (221)
Energy relative to the lowest polymorph listed for this composition   667 meV per atom
Final energy   -5.296 eV/atom
Raw formation energy   7.0 eV/f.u.
Theoretical density   6.18 g cm⁻³

Computed, not measured: a relaxed Tm3BiAs2 crystal at the PBE-GGA level of DFT.

Geometry as extended XYZ:
```
12
Lattice="5.084 0.000 0.000 -2.542 6.107 0.000 0.000 0.000 9.919" Properties=species:S:1:pos:R:3 pbc="T T T"
Tm 2.542 1.572 0.426
Tm 0.000 1.238 7.439
Tm 2.542 1.572 4.533
Tm 2.542 4.869 2.480
Tm 0.000 4.535 9.493
Tm 0.000 4.535 5.386
Bi 0.000 2.603 2.480
Bi 2.542 3.504 7.439
As 0.000 0.000 0.000
As 0.000 0.000 4.960
As 0.000 5.742 2.480
As 2.542 0.365 7.439
```

D(E_F)   0.377 states/eV/atom
Symmetry   Cmcm (63)
Final energy   -5.273 eV/atom
Energy of formation   -840.6 meV per atom
Theoretical density   9.34 g cm⁻³